Model one:
PrCu2Cl6 | PBE | optimized geometry

Values from the calculation:
magnetic moment	2.0	μB per cell
space-group type	C2/c
theoretical density	2.98	g/cm³

Lattice parameters (Å, degrees): 9.112 9.112 6.676 99.68 99.68 83.58
Atoms (fractional coordinates):
Pr1 0.112 0.888 0.750
Pr2 0.888 0.112 0.250
Cu1 0.287 0.432 0.761
Cu2 0.432 0.287 0.261
Cu3 0.568 0.713 0.739
Cu4 0.713 0.568 0.239
Cl1 0.053 0.178 0.635
Cl2 0.125 0.614 0.877
Cl3 0.178 0.053 0.135
Cl4 0.285 0.449 0.430
Cl5 0.386 0.875 0.623
Cl6 0.449 0.285 0.930
Cl7 0.551 0.715 0.070
Cl8 0.614 0.125 0.377
Cl9 0.715 0.551 0.570
Cl10 0.822 0.947 0.865
Cl11 0.875 0.386 0.123
Cl12 0.947 0.822 0.365

=====

Model two:
PrCu2Cl6 | PBE | optimized geometry

Values from the calculation:
magnetic moment	2.1	μB per cell
space-group type	C2/c
theoretical density	3.54	g/cm³

Lattice parameters (Å, degrees): 8.526 8.526 6.912 106.81 106.81 74.70
Atoms (fractional coordinates):
Pr1 0.166 0.834 0.750
Pr2 0.834 0.166 0.250
Cu1 0.249 0.367 0.780
Cu2 0.367 0.249 0.280
Cu3 0.633 0.751 0.720
Cu4 0.751 0.633 0.220
Cl1 0.070 0.172 0.645
Cl2 0.172 0.070 0.145
Cl3 0.175 0.619 0.986
Cl4 0.229 0.466 0.498
Cl5 0.381 0.825 0.514
Cl6 0.466 0.229 0.998
Cl7 0.534 0.771 0.002
Cl8 0.619 0.175 0.486
Cl9 0.771 0.534 0.502
Cl10 0.825 0.381 0.014
Cl11 0.828 0.930 0.855
Cl12 0.930 0.828 0.355

=====

Compare the structures above. Which one is the most stable? model one is.